(1)
AgB2MoRh: optimized geometry, PBE.

Calculated values
- Volume: 16.2 A^3/atom
- Total magnetic moment: 3.34 μB per cell
- Raw total energy: -5.56 eV per atom

Cell lengths 3.9940, 3.9940, 5.0890 Å; angles 90.00, 90.00, 90.00 degrees
With the nearest neighbours (Å) after each atom.
Fractional coordinates of all 5 atoms:
1 Ag 0.0000 0.0000 0.0000  2 Rh 2.54, 4 Mo 2.82
2 B 0.0000 0.5000 0.5000  2 Rh 2.00
3 B 0.5000 0.0000 0.5000  2 Rh 2.00
4 Mo 0.5000 0.5000 0.0000  4 Ag 2.82
5 Rh 0.0000 0.0000 0.5000  4 B 2.00

(2)
HfMg2Nb: optimized geometry, PBE.

Calculated values
- Volume: 20.0 A^3/atom
- Total magnetic moment: 2.50 μB per cell
- Raw total energy: -5.43 eV per atom
- ΔE to the lowest computed polymorph: 0.00 eV per formula unit

Cell lengths 6.8412, 6.8412, 6.8412 Å; angles 90.00, 90.00, 90.00 degrees
With the nearest neighbours (Å) after each atom.
Fractional coordinates of all 16 atoms:
1 Hf 0.0000 0.0000 0.0000  8 Mg 2.96
2 Hf 0.0000 0.5000 0.5000  8 Mg 2.96
3 Hf 0.5000 0.0000 0.5000  8 Mg 2.96
4 Hf 0.5000 0.5000 0.0000  8 Mg 2.96
5 Mg 0.2500 0.2500 0.2500  4 Hf 2.96, 4 Nb 2.96
6 Mg 0.2500 0.2500 0.7500  4 Hf 2.96, 4 Nb 2.96
7 Mg 0.2500 0.7500 0.2500  4 Hf 2.96, 4 Nb 2.96
8 Mg 0.2500 0.7500 0.7500  4 Hf 2.96, 4 Nb 2.96
9 Mg 0.7500 0.2500 0.2500  4 Hf 2.96, 4 Nb 2.96
10 Mg 0.7500 0.2500 0.7500  4 Hf 2.96, 4 Nb 2.96
11 Mg 0.7500 0.7500 0.2500  4 Hf 2.96, 4 Nb 2.96
12 Mg 0.7500 0.7500 0.7500  4 Nb 2.96, 4 Hf 2.96
13 Nb 0.0000 0.0000 0.5000  8 Mg 2.96
14 Nb 0.0000 0.5000 0.0000  8 Mg 2.96
15 Nb 0.5000 0.0000 0.0000  8 Mg 2.96
16 Nb 0.5000 0.5000 0.5000  8 Mg 2.96

(3)
Ca2GaN: optimized geometry, PBE.

Calculated values
- E_form (uncorrected): -0.493 eV/atom
- Volume: 23.6 A^3/atom
- Total magnetic moment: 0.00 μB per cell
- Raw total energy: -4.33 eV per atom

Cell lengths 3.5124, 3.5124, 26.5492 Å; angles 90.00, 90.00, 120.00 degrees
With the nearest neighbours (Å) after each atom.
Fractional coordinates of all 12 atoms:
1 Ca 0.0000 0.0000 0.1189  3 N 2.39
2 Ca 0.0000 0.0000 0.8811  3 N 2.39
3 Ca 0.3333 0.6667 0.5478  3 N 2.39
4 Ca 0.3333 0.6667 0.7856  3 N 2.39
5 Ca 0.6667 0.3333 0.2144  3 N 2.39
6 Ca 0.6667 0.3333 0.4522  3 N 2.39
7 Ga 0.0000 0.0000 0.0000  2 Ca 3.16, 6 Ga 3.51
8 Ga 0.3333 0.6667 0.6667  2 Ca 3.16, 6 Ga 3.51
9 Ga 0.6667 0.3333 0.3333  2 Ca 3.16, 6 Ga 3.51
10 N 0.0000 0.0000 0.5000  6 Ca 2.39
11 N 0.3333 0.6667 0.1667  6 Ca 2.39
12 N 0.6667 0.3333 0.8333  6 Ca 2.39

Number 3 is which compound? Ca2GaN